The following is a PBE calculation of EuNpFe4 after structural relaxation, from Alexandria via LeMat-Bulk.

Cell: 6.0035 6.0035 6.0035 Å, 60.00 60.00 60.00°
Positions (direct):
Eu (0.0000, 0.0000, 0.0000)
Np (0.7500, 0.7500, 0.7500)
Fe (0.1562, 0.1562, 0.1562)
Fe (0.1562, 0.1562, 0.5315)
Fe (0.1562, 0.5315, 0.1562)
Fe (0.5315, 0.1562, 0.1562)

Output
- Calculated formation energy: 42.12 kcal/mol of atoms
- Size of the total moment: 9.4 Bohr magnetons per cell